Record 1
This record from the Alexandria database describes a relaxed structure of MgSiSnHS. The functional is PBE-GGA.

The value obtained for the total magnetic moment is 0.0 μB/cell. Its total energy is -3.809 eV/atom.

The space group is P1 (No. 1) and the conventional cell measures 4.0714, 4.6968 and 5.5305 Å, with angles of 100.62, 110.13 and 98.29 degrees. The distinct sites, in fractional coordinates, are Mg at (0.0000, 0.0000, 0.0000), Si at (0.4569, 0.9152, 0.4566), Sn at (0.7307, 0.4974, 0.2540), H at (0.7807, 0.1578, 0.6762) and S at (0.3197, 0.6995, 0.7589).

---

Record 2
This record from the Alexandria database describes a relaxed structure of CsB6Br6. The functional is PBE-GGA.

For the formation energy (no corrections), the calculation gives -0.692 eV per atom. The value obtained for the total magnetic moment is 0.0 μB/cell.

The space group is R-3 (No. 148, hexagonal axes) and the conventional cell measures 10.1380, 10.1380 and 49.5523 Å, with angles of 90.00, 90.00 and 120.00 degrees. The distinct sites, in fractional coordinates, are Cs at (0.0000, 0.0000, 0.1264), Cs at (0.0000, 0.0000, 0.2924), B at (0.0229, 0.9109, 0.5274), B at (0.0285, 0.1133, 0.9727), B at (0.0365, 0.8566, 0.4935), B at (0.0458, 0.1831, 0.0065), Br at (0.0244, 0.2797, 0.1813), Br at (0.0371, 0.7633, 0.6519), Br at (0.0487, 0.8087, 0.5588) and Br at (0.0599, 0.2433, 0.9411).

---

Record 3
This record from the Alexandria database describes a relaxed structure of PmEr2FeN4. The functional is PBE-GGA.

For the formation energy (no corrections), the calculation gives -1.167 eV per atom. The value obtained for the total magnetic moment is 0.8 μB/cell.

The space group is Cmcm (No. 63) and the conventional cell measures 3.3749, 11.3281 and 11.4292 Å, with angles of 90.00, 90.00 and 90.00 degrees. The distinct sites, in fractional coordinates, are Pm at (0.0000, 0.1150, 0.2500), Er at (0.0000, 0.3682, 0.0449), Fe at (0.0000, 0.1544, 0.7500), N at (0.0000, 0.0000, 0.0000), N at (0.0000, 0.2669, 0.6291) and N at (0.0000, 0.4181, 0.2500).

---

Record 4
This record from the Alexandria database describes a relaxed structure of Cu3PtAu2. The functional is PBE-GGA.

For the calculated formation energy, the calculation gives 0.154 eV/atom. The value obtained for the total magnetic moment is 0.0 μB/cell.

The space group is Imm2 (No. 44) and the conventional cell measures 4.0716, 11.4806 and 4.3331 Å, with angles of 90.00, 90.00 and 90.00 degrees. The distinct sites, in fractional coordinates, are Cu at (0.0000, 0.0000, 0.0000), Cu at (0.0000, 0.3862, 0.6425), Pt at (0.0000, 0.5000, 0.1370) and Au at (0.0000, 0.2557, 0.1387).

---

Record 5
This record from the Alexandria database describes a relaxed structure of Nd4SmY6. The functional is PBE-GGA.

For the calculated formation energy, the calculation gives 0.165 eV/atom. The value obtained for the total magnetic moment is 0.0 μB/cell.

The space group is P-6m2 (No. 187) and the conventional cell measures 11.0425, 11.0425 and 3.6128 Å, with angles of 90.00, 90.00 and 120.00 degrees. The distinct sites, in fractional coordinates, are Nd at (0.0000, 0.0000, 0.0000), Nd at (0.5051, 0.0103, 0.5000), Sm at (0.6667, 0.3333, 0.0000), Y at (0.1848, 0.3697, 0.0000) and Y at (0.2999, 0.1499, 0.5000).

---

Record 6
This record from the Alexandria database describes a relaxed structure of YFe2Ru. The functional is PBE-GGA.

For the calculated formation energy, the calculation gives 0.214 eV/atom. The value obtained for the total magnetic moment is 5.5 μB/cell.

The space group is Pmmm (No. 47) and the conventional cell measures 3.3336, 4.3528 and 4.4322 Å, with angles of 90.00, 90.00 and 90.00 degrees. The distinct sites, in fractional coordinates, are Y at (0.0000, 0.0000, 0.0000), Fe at (0.0000, 0.5000, 0.5000), Fe at (0.5000, 0.0000, 0.5000) and Ru at (0.5000, 0.5000, 0.0000).

---

Record 7
This record from the Alexandria database describes a relaxed structure of Fe2TeCl. The functional is PBE-GGA.

For the formation energy (no corrections), the calculation gives -0.157 eV per atom. The value obtained for the total magnetic moment is 5.7 μB/cell.

The space group is Pm (No. 6) and the conventional cell measures 3.5210, 3.6423 and 7.1030 Å, with angles of 90.00, 90.48 and 90.00 degrees. The distinct sites, in fractional coordinates, are Fe at (0.0000, 0.0000, 0.0000), Fe at (0.5004, 0.5000, 0.0051), Te at (0.9961, 0.5000, 0.7323) and Cl at (0.5036, 0.0000, 0.2395).

---

Record 8
This record from the Alexandria database describes a relaxed structure of HoTh2Zr. The functional is PBE-GGA.

For the calculated formation energy, the calculation gives 0.086 eV/atom. The value obtained for the total magnetic moment is 0.0 μB/cell.

The space group is P4/mmm (No. 123) and the conventional cell measures 3.4788, 3.4788 and 9.8087 Å, with angles of 90.00, 90.00 and 90.00 degrees. The distinct sites, in fractional coordinates, are Ho at (0.0000, 0.0000, 0.0000), Th at (0.5000, 0.5000, 0.2630) and Zr at (0.0000, 0.0000, 0.5000).

---

Record 9
This record from the Alexandria database describes a relaxed structure of TeRh3. The functional is PBE-GGA.

For the formation energy (no corrections), the calculation gives 0.101 eV per atom. The value obtained for the total magnetic moment is 0.0 μB/cell.

The space group is Pmmm (No. 47) and the conventional cell measures 3.0525, 3.7506 and 5.6713 Å, with angles of 90.00, 90.00 and 90.00 degrees. The distinct sites, in fractional coordinates, are Te at (0.0000, 0.0000, 0.0000), Rh at (0.0000, 0.0000, 0.5000) and Rh at (0.5000, 0.5000, 0.2663).

---

Record 10
This record from the Alexandria database describes a relaxed structure of Nd2ErAu4. The functional is PBE-GGA.

For the calculated formation energy, the calculation gives -0.674 eV/atom. The value obtained for the total magnetic moment is 0.0 μB/cell.

The space group is I4/mmm (No. 139) and the conventional cell measures 5.2643, 5.2643 and 13.0976 Å, with angles of 90.00, 90.00 and 90.00 degrees. The distinct sites, in fractional coordinates, are Nd at (0.0000, 0.0000, 0.2209), Er at (0.0000, 0.0000, 0.5000) and Au at (0.0000, 0.5000, 0.1133).

---

Record 11
This record from the Alexandria database describes a relaxed structure of TbHgPd2. The functional is PBE-GGA.

For the calculated formation energy, the calculation gives -0.608 eV/atom. The value obtained for the total magnetic moment is 0.0 μB/cell.

The space group is P4/mmm (No. 123) and the conventional cell measures 4.4902, 4.4902 and 3.9030 Å, with angles of 90.00, 90.00 and 90.00 degrees. The distinct sites, in fractional coordinates, are Tb at (0.0000, 0.0000, 0.0000), Hg at (0.5000, 0.5000, 0.0000) and Pd at (0.0000, 0.5000, 0.5000).

---

Record 12
This record from the Alexandria database describes a relaxed structure of SiP2Se. The functional is PBE-GGA.

For the formation energy (no corrections), the calculation gives 0.552 eV per atom. The value obtained for the total magnetic moment is 0.0 μB/cell.

The space group is Pmmm (No. 47) and the conventional cell measures 3.4087, 3.4475 and 6.9583 Å, with angles of 90.00, 90.00 and 90.00 degrees. The distinct sites, in fractional coordinates, are Si at (0.0000, 0.0000, 0.0000), P at (0.0000, 0.5000, 0.5000), P at (0.5000, 0.5000, 0.0000) and Se at (0.5000, 0.0000, 0.5000).